This record from Alexandria via LeMat-Bulk describes a geometry-optimized LiPm2PN4 structure. The functional is PBE-GGA.

extended XYZ file:
```
16
Lattice="0.000 5.145 9.162 2.135 0.000 9.162 2.135 5.145 0.000" Properties=species:S:1:pos:R:3 pbc="T T T"
Li 0.534 1.286 2.291
Li 3.737 9.004 16.034
Pm 1.602 3.859 0.983
Pm 2.669 6.431 5.564
Pm 1.602 3.859 12.760
Pm 2.669 6.431 17.342
P 1.602 3.859 6.872
P 2.669 6.431 11.453
N 2.532 2.784 5.976
N 2.532 4.933 7.768
N 3.600 5.357 12.349
N 3.600 7.506 10.557
N 0.671 2.784 7.768
N 0.671 4.933 5.976
N 1.739 5.357 10.557
N 1.739 7.506 12.349
```

energy	-7.032	eV per atom
calculated density	6.33	g/cm³
SG	Fddd (70)
crystal system	orthorhombic

This record from Alexandria via LeMat-Bulk describes a geometry-optimized Li2PrPN structure. The functional is PBE-GGA.

extended XYZ file:
```
10
Lattice="-2.974 2.974 4.707 2.974 -2.974 4.707 2.974 2.974 -4.707" Properties=species:S:1:pos:R:3 pbc="T T T"
Li 4.013 1.038 0.000
Li 1.038 1.936 0.000
Li 1.936 1.038 4.707
Li -1.038 1.936 4.707
Pr 0.000 0.000 2.354
Pr 0.000 0.000 7.061
P 2.974 0.000 2.354
P 0.000 2.974 2.354
N 0.000 0.000 0.000
N 0.000 0.000 4.707
```

energy	-5.172	eV per atom
calculated density	3.98	g/cm³
SG	I4/mcm (140)
crystal system	tetragonal

This record from Alexandria via LeMat-Bulk describes a geometry-optimized LiPr2PN4 structure. The functional is PBE-GGA.

extended XYZ file:
```
16
Lattice="0.000 5.192 9.314 2.160 0.000 9.314 2.160 5.192 0.000" Properties=species:S:1:pos:R:3 pbc="T T T"
Li 0.540 1.298 2.329
Li 3.780 9.086 16.300
Pr 1.620 3.894 0.990
Pr 2.700 6.490 5.647
Pr 1.620 3.894 12.982
Pr 2.700 6.490 17.639
P 1.620 3.894 6.986
P 2.700 6.490 11.643
N 2.556 2.827 6.084
N 2.556 4.961 7.888
N 3.636 5.423 12.545
N 3.636 7.557 10.741
N 0.684 2.827 7.888
N 0.684 4.961 6.084
N 1.764 5.423 10.741
N 1.764 7.557 12.545
```

energy	-7.024	eV per atom
calculated density	5.97	g/cm³
SG	Fddd (70)
crystal system	orthorhombic

This record from Alexandria via LeMat-Bulk describes a geometry-optimized LiPr2P2N6 structure. The functional is PBE-GGA.

extended XYZ file:
```
11
Lattice="2.762 1.594 5.645 -2.762 1.594 5.645 0.000 -3.189 5.645" Properties=species:S:1:pos:R:3 pbc="T T T"
Li 0.000 0.000 0.000
Pr 0.000 0.000 3.542
Pr 0.000 0.000 13.393
P 0.000 0.000 7.140
P 0.000 0.000 9.795
N -1.364 -0.788 9.780
N 0.000 -1.576 7.156
N -1.364 0.788 7.156
N 1.364 -0.788 9.780
N 0.000 1.576 9.780
N 1.364 0.788 7.156
```

energy	-7.164	eV per atom
calculated density	4.84	g/cm³
SG	R-3m (166)
crystal system	trigonal

This record from Alexandria via LeMat-Bulk describes a geometry-optimized Li2PrPN4 structure. The functional is PBE-GGA.

extended XYZ file:
```
8
Lattice="-2.645 2.645 3.316 2.645 -2.645 3.316 2.645 2.645 -3.316" Properties=species:S:1:pos:R:3 pbc="T T T"
Li 2.645 0.000 1.658
Li 0.000 2.645 1.658
Pr 0.000 0.000 0.000
P 0.000 0.000 3.316
N 1.680 1.680 -0.915
N 0.965 -0.965 4.231
N 0.965 0.965 2.401
N -0.965 0.965 4.231
```

energy	-6.522	eV per atom
calculated density	4.33	g/cm³
SG	I-42m (121)
crystal system	tetragonal

This record from Alexandria via LeMat-Bulk describes a geometry-optimized LiPrPN3 structure. The functional is PBE-GGA.

extended XYZ file:
```
12
Lattice="2.676 -4.787 0.000 2.676 4.787 0.000 0.000 0.000 5.075" Properties=species:S:1:pos:R:3 pbc="T T T"
Li 2.676 4.070 3.807
Li 2.676 -4.070 1.269
Pr 2.676 2.657 1.269
Pr 2.676 -2.657 3.807
P 2.676 0.444 3.807
P 2.676 -0.444 1.269
N 2.676 2.121 3.807
N 1.501 0.000 0.000
N 1.501 0.000 2.538
N 3.851 0.000 0.000
N 3.851 0.000 2.538
N 2.676 -2.121 1.269
```

energy	-6.929	eV per atom
calculated density	5.64	g/cm³
SG	Cmcm (63)
crystal system	orthorhombic

| no. | uncorrected formation energy (meV/atom) |
| --- | --- |
| 1 | -766 |
| 2 | -704 |
| 3 | -750 |
| 4 | -596 |
| 5 | -607 |
| 6 | -749 |